(1)
Here is Si2AsPb at its PBEsol-relaxed geometry from Alexandria. Energies are from meta-GGA SCAN.

Cell lengths 4.8184, 4.8184, 4.8184 Å; angles 60.00, 60.00, 60.00 degrees
With the nearest neighbours (Å) after each atom.
Element x y z (fractional)
Si (0.0000, 0.0000, 0.0000)  4 As 2.95, 4 Si 2.95
Si (0.2500, 0.2500, 0.2500)  4 Pb 2.95, 4 Si 2.95
As (0.7500, 0.7500, 0.7500)  4 Pb 2.95, 4 Si 2.95
Pb (0.5000, 0.5000, 0.5000)  4 As 2.95, 4 Si 2.95

- space-group type = No. 216
- raw formation energy (meV per atom) = 779
- energy above the most stable polymorph in this dataset (kJ per mole of atoms) = 44.5
- electronic total energy (eV/atom) = -28.22
- M_tot (μB per atom) = 0.00

(2)
Here is SiAs2Pb at its PBEsol-relaxed geometry from Alexandria. Energies are from meta-GGA SCAN.

Cell lengths 5.3050, 5.3050, 5.3050 Å; angles 130.74, 130.74, 72.23 degrees
With the nearest neighbours (Å) after each atom.
Element x y z (fractional)
Si (0.0000, 0.0000, 0.0000)  8 As 3.08, 4 Pb 3.13
As (0.2500, 0.7500, 0.5000)  4 Pb 3.08, 4 Si 3.08, 4 As 3.13
As (0.7500, 0.2500, 0.5000)  4 Pb 3.08, 4 Si 3.08, 4 As 3.13
Pb (0.5000, 0.5000, 0.0000)  8 As 3.08, 4 Si 3.13

- space-group type = No. 139
- raw formation energy (meV per atom) = 640
- energy above the most stable polymorph in this dataset (kJ per mole of atoms) = 50.6
- electronic total energy (eV/atom) = -30.90
- M_tot (μB per atom) = 0.00

Question: Which value of raw formation energy does entry 2 give?
Answer: 640 meV per atom

Question: What is the M_tot in the first record?
Answer: 0.00 μB per atom